Computed, not measured: crystalline NaPmHo at its relaxed geometry at the GGA-PBE level of DFT.

Results
Total magnetic moment = 6.34 μB per cell
E_tot = -2.749 eV/atom

CIF file:
```
data_NaPmHo
_chemical_formula_sum 'Na4 Pm4 Ho4'
_cell_length_a 7.5555
_cell_length_b 7.5555
_cell_length_c 7.5555
_cell_angle_alpha 90.00
_cell_angle_beta 90.00
_cell_angle_gamma 90.00
_space_group_name_H-M_alt 'F -4 3 m'
_space_group_IT_number 216
_space_group_name_Hall 'F -4 2 3'
loop_
_atom_site_label
_atom_site_fract_x
_atom_site_fract_y
_atom_site_fract_z
Na1 0.0000 0.0000 0.0000
Pm1 0.2500 0.2500 0.2500
Ho1 0.2500 0.2500 0.7500
```



Computed, not measured: crystalline NaHoRe at its relaxed geometry at the GGA-PBE level of DFT.

Results
Total magnetic moment = 5.56 μB per cell
E_tot = -4.468 eV/atom

CIF file:
```
data_NaHoRe
_chemical_formula_sum 'Na4 Ho4 Re4'
_cell_length_a 6.5564
_cell_length_b 6.5564
_cell_length_c 6.5564
_cell_angle_alpha 90.00
_cell_angle_beta 90.00
_cell_angle_gamma 90.00
_space_group_name_H-M_alt 'F -4 3 m'
_space_group_IT_number 216
_space_group_name_Hall 'F -4 2 3'
loop_
_atom_site_label
_atom_site_fract_x
_atom_site_fract_y
_atom_site_fract_z
Na1 0.0000 0.0000 0.0000
Ho1 0.2500 0.2500 0.7500
Re1 0.2500 0.2500 0.2500
```



Computed, not measured: crystalline NaHoTeS at its relaxed geometry at the GGA-PBE level of DFT.

Results
Total magnetic moment = 0.01 μB per cell
E_tot = -4.837 eV/atom

CIF file:
```
data_NaHoTeS
_chemical_formula_sum 'Na3 Ho3 Te3 S3'
_cell_length_a 4.1621
_cell_length_b 4.1621
_cell_length_c 21.3383
_cell_angle_alpha 90.00
_cell_angle_beta 90.00
_cell_angle_gamma 120.00
_space_group_name_H-M_alt 'R 3 m'
_space_group_IT_number 160
_space_group_name_Hall 'R 3 -2"'
loop_
_atom_site_label
_atom_site_fract_x
_atom_site_fract_y
_atom_site_fract_z
Na1 0.0000 0.0000 0.0000
Ho1 0.0000 0.0000 0.5180
Te1 0.0000 0.0000 0.7630
S1 0.0000 0.0000 0.2497
```



Computed, not measured: crystalline NaHoSbTe3 at its relaxed geometry at the GGA-PBE level of DFT.

Results
Total magnetic moment = 0.02 μB per cell
E_tot = -3.867 eV/atom

CIF file:
```
data_NaHoSbTe3
_chemical_formula_sum 'Na4 Ho4 Sb4 Te12'
_cell_length_a 4.3345
_cell_length_b 15.6095
_cell_length_c 11.0464
_cell_angle_alpha 90.00
_cell_angle_beta 90.00
_cell_angle_gamma 90.00
_space_group_name_H-M_alt 'C m c m'
_space_group_IT_number 63
_space_group_name_Hall '-C 2c 2'
loop_
_atom_site_label
_atom_site_fract_x
_atom_site_fract_y
_atom_site_fract_z
Na1 0.0000 0.2223 0.2500
Ho1 0.0000 0.0000 0.0000
Sb1 0.0000 0.4722 0.7500
Te1 0.0000 0.1209 0.7500
Te2 0.0000 0.3583 0.5373
```



Computed, not measured: crystalline NaHoSnSe3 at its relaxed geometry at the GGA-PBE level of DFT.

Results
Total magnetic moment = 0.04 μB per cell
E_tot = -4.504 eV/atom

CIF file:
```
data_NaHoSnSe3
_chemical_formula_sum 'Na4 Ho4 Sn4 Se12'
_cell_length_a 4.0836
_cell_length_b 15.5320
_cell_length_c 11.4535
_cell_angle_alpha 90.00
_cell_angle_beta 90.00
_cell_angle_gamma 90.00
_space_group_name_H-M_alt 'C m c m'
_space_group_IT_number 63
_space_group_name_Hall '-C 2c 2'
loop_
_atom_site_label
_atom_site_fract_x
_atom_site_fract_y
_atom_site_fract_z
Na1 0.0000 0.1457 0.2500
Ho1 0.0000 0.5000 0.0000
Sn1 0.0000 0.1439 0.7500
Se1 0.0000 0.1271 0.0063
Se2 0.0000 0.4783 0.2500
```



Computed, not measured: crystalline NaHoSi at its relaxed geometry at the GGA-PBE level of DFT.

Results
Total magnetic moment = 0.00 μB per cell
E_tot = -3.562 eV/atom

CIF file:
```
data_NaHoSi
_chemical_formula_sum 'Na4 Ho4 Si4'
_cell_length_a 6.8020
_cell_length_b 6.8020
_cell_length_c 6.8020
_cell_angle_alpha 90.00
_cell_angle_beta 90.00
_cell_angle_gamma 90.00
_space_group_name_H-M_alt 'F -4 3 m'
_space_group_IT_number 216
_space_group_name_Hall 'F -4 2 3'
loop_
_atom_site_label
_atom_site_fract_x
_atom_site_fract_y
_atom_site_fract_z
Na1 0.0000 0.0000 0.0000
Ho1 0.2500 0.2500 0.2500
Si1 0.0000 0.0000 0.5000
```



Computed, not measured: crystalline NaHoSi at its relaxed geometry at the GGA-PBE level of DFT.

Results
Total magnetic moment = 0.00 μB per cell
E_tot = -3.961 eV/atom

CIF file:
```
data_NaHoSi
_chemical_formula_sum 'Na4 Ho4 Si4'
_cell_length_a 6.8038
_cell_length_b 6.8038
_cell_length_c 6.8038
_cell_angle_alpha 90.00
_cell_angle_beta 90.00
_cell_angle_gamma 90.00
_space_group_name_H-M_alt 'F -4 3 m'
_space_group_IT_number 216
_space_group_name_Hall 'F -4 2 3'
loop_
_atom_site_label
_atom_site_fract_x
_atom_site_fract_y
_atom_site_fract_z
Na1 0.0000 0.0000 0.0000
Ho1 0.0000 0.0000 0.5000
Si1 0.2500 0.2500 0.7500
```



Computed, not measured: crystalline NaSrHo at its relaxed geometry at the GGA-PBE level of DFT.

Results
Total magnetic moment = 0.04 μB per cell
E_tot = -1.863 eV/atom

CIF file:
```
data_NaSrHo
_chemical_formula_sum 'Na4 Sr4 Ho4'
_cell_length_a 8.0316
_cell_length_b 8.0316
_cell_length_c 8.0316
_cell_angle_alpha 90.00
_cell_angle_beta 90.00
_cell_angle_gamma 90.00
_space_group_name_H-M_alt 'F -4 3 m'
_space_group_IT_number 216
_space_group_name_Hall 'F -4 2 3'
loop_
_atom_site_label
_atom_site_fract_x
_atom_site_fract_y
_atom_site_fract_z
Na1 0.0000 0.0000 0.0000
Sr1 0.2500 0.2500 0.2500
Ho1 0.2500 0.2500 0.7500
```



Computed, not measured: crystalline NaHoTa at its relaxed geometry at the GGA-PBE level of DFT.

Results
Total magnetic moment = 13.32 μB per cell
E_tot = -4.176 eV/atom

CIF file:
```
data_NaHoTa
_chemical_formula_sum 'Na4 Ho4 Ta4'
_cell_length_a 7.1632
_cell_length_b 7.1632
_cell_length_c 7.1632
_cell_angle_alpha 90.00
_cell_angle_beta 90.00
_cell_angle_gamma 90.00
_space_group_name_H-M_alt 'F -4 3 m'
_space_group_IT_number 216
_space_group_name_Hall 'F -4 2 3'
loop_
_atom_site_label
_atom_site_fract_x
_atom_site_fract_y
_atom_site_fract_z
Na1 0.0000 0.0000 0.0000
Ho1 0.2500 0.2500 0.2500
Ta1 0.0000 0.0000 0.5000
```



Computed, not measured: crystalline NaTbHo at its relaxed geometry at the GGA-PBE level of DFT.

Results
Total magnetic moment = 5.28 μB per cell
E_tot = -2.674 eV/atom

CIF file:
```
data_NaTbHo
_chemical_formula_sum 'Na4 Tb4 Ho4'
_cell_length_a 7.5279
_cell_length_b 7.5279
_cell_length_c 7.5279
_cell_angle_alpha 90.00
_cell_angle_beta 90.00
_cell_angle_gamma 90.00
_space_group_name_H-M_alt 'F -4 3 m'
_space_group_IT_number 216
_space_group_name_Hall 'F -4 2 3'
loop_
_atom_site_label
_atom_site_fract_x
_atom_site_fract_y
_atom_site_fract_z
Na1 0.0000 0.0000 0.0000
Tb1 0.2500 0.2500 0.2500
Ho1 0.2500 0.2500 0.7500
```



Computed, not measured: crystalline NaHoZnTe3 at its relaxed geometry at the GGA-PBE level of DFT.

Results
Total magnetic moment = 0.03 μB per cell
E_tot = -3.637 eV/atom

CIF file:
```
data_NaHoZnTe3
_chemical_formula_sum 'Na4 Ho4 Zn4 Te12'
_cell_length_a 20.3244
_cell_length_b 4.3116
_cell_length_c 8.7085
_cell_angle_alpha 90.00
_cell_angle_beta 102.68
_cell_angle_gamma 90.00
_space_group_name_H-M_alt 'C 1 2/m 1'
_space_group_IT_number 12
_space_group_name_Hall '-C 2y'
loop_
_atom_site_label
_atom_site_fract_x
_atom_site_fract_y
_atom_site_fract_z
Na1 0.1205 0.0000 0.0684
Ho1 0.1737 0.0000 0.5796
Zn1 0.0402 0.5000 0.7256
Te1 0.0000 0.0000 0.5000
Te2 0.0000 0.5000 0.0000
Te3 0.1721 0.5000 0.8272
Te4 0.1740 0.5000 0.3374
```



Computed, not measured: crystalline NaHoZnTe3 at its relaxed geometry at the GGA-PBE level of DFT.

Results
Total magnetic moment = 0.01 μB per cell
E_tot = -3.737 eV/atom

CIF file:
```
data_NaHoZnTe3
_chemical_formula_sum 'Na4 Ho4 Zn4 Te12'
_cell_length_a 14.9986
_cell_length_b 4.3020
_cell_length_c 11.7492
_cell_angle_alpha 90.00
_cell_angle_beta 90.00
_cell_angle_gamma 90.00
_space_group_name_H-M_alt 'P n m a'
_space_group_IT_number 62
_space_group_name_Hall '-P 2ac 2n'
loop_
_atom_site_label
_atom_site_fract_x
_atom_site_fract_y
_atom_site_fract_z
Na1 0.2301 0.2500 0.0640
Ho1 0.0155 0.2500 0.3428
Zn1 0.0118 0.7500 0.0956
Te1 0.0993 0.7500 0.8872
Te2 0.1120 0.2500 0.5704
Te3 0.1409 0.7500 0.2474
```